# 1
The following is a GGA-PBE calculation of a geometry-optimized Hf11Zn9Pd4 structure, from Alexandria.

Geometry as POSCAR:
```
Hf11Zn9Pd4
1.0
3.323 0.000 0.000
0.000 10.994 -4.733
0.000 -0.031 11.970
Hf Zn Pd
11 9 4
Direct
0.000 0.062 0.409 Hf
0.000 0.000 0.000 Hf
0.000 0.736 0.736 Hf
0.000 0.264 0.264 Hf
0.000 0.646 0.354 Hf
0.000 0.591 0.938 Hf
0.000 0.938 0.591 Hf
0.000 0.354 0.646 Hf
0.000 0.409 0.062 Hf
0.000 0.167 0.833 Hf
0.000 0.833 0.167 Hf
0.500 0.500 0.500 Zn
0.500 0.792 0.951 Zn
0.500 0.049 0.208 Zn
0.500 0.208 0.049 Zn
0.500 0.370 0.849 Zn
0.500 0.151 0.630 Zn
0.500 0.951 0.792 Zn
0.500 0.630 0.151 Zn
0.500 0.849 0.370 Zn
0.500 0.445 0.253 Pd
0.500 0.747 0.555 Pd
0.500 0.253 0.445 Pd
0.500 0.555 0.747 Pd
```

Properties
- Crystal system: orthorhombic
- SG: No. 65


# 2
The following is a GGA-PBE calculation of a geometry-optimized Hf2Zn3Pd structure, from Alexandria.

Geometry as POSCAR:
```
Hf2Zn3Pd
1.0
5.993 0.000 0.000
0.000 7.657 -4.421
0.000 0.000 8.842
Pd Zn Hf
4 12 8
Direct
0.000 0.333 0.667 Pd
0.500 0.667 0.333 Pd
0.000 0.667 0.333 Pd
0.500 0.333 0.667 Pd
0.999 0.671 0.836 Zn
0.501 0.164 0.329 Zn
0.501 0.164 0.836 Zn
0.999 0.164 0.329 Zn
0.001 0.329 0.164 Zn
0.499 0.329 0.164 Zn
0.999 0.164 0.836 Zn
0.001 0.836 0.164 Zn
0.501 0.671 0.836 Zn
0.499 0.836 0.164 Zn
0.499 0.836 0.671 Zn
0.001 0.836 0.671 Zn
0.750 0.999 0.500 Hf
0.750 0.500 0.500 Hf
0.250 0.500 0.999 Hf
0.750 0.500 0.001 Hf
0.250 0.000 0.000 Hf
0.250 0.001 0.500 Hf
0.250 0.500 0.500 Hf
0.750 0.000 0.000 Hf
```

Properties
- Crystal system: hexagonal
- SG: No. 194
- Excess energy over the best structure of this formula in the dataset: 4 meV/atom


These records have DOS(E_F) values of 15.1 17.1 states/eV/cell, in the order they appear.
These records have ΔE_f values of -0.3388 -0.3539 eV per atom, in the order they appear.
These records have total magnetization values of 0.00 0.00 μB per formula unit, in the order they appear.